Compound: Li2Ca2Sn
Source: the Alexandria database
Functional: PBE
Structure: optimized geometry

Values from the calculation:
- Space-group type: P4/mbm
- Total magnetization: 0.0 Bohr magnetons per cell
- Energy of formation: -0.298 eV per atom
- Total DFT energy (no corrections): -0.098 hartree per atom
- Energy relative to the lowest polymorph listed for this composition: 10 meV per atom

Cell lengths 7.264, 7.264, 4.921 Å; angles 90.00, 90.00, 90.00 degrees
Element x y z (fractional)
Li: 0.129 0.371 0.000
Li: 0.371 0.871 0.000
Li: 0.629 0.129 0.000
Li: 0.871 0.629 0.000
Ca: 0.197 0.697 0.500
Ca: 0.303 0.197 0.500
Ca: 0.697 0.803 0.500
Ca: 0.803 0.303 0.500
Sn: 0.000 0.000 0.000
Sn: 0.500 0.500 0.000